# 1
First-principles (GGA-PBE) data for a relaxed structure of SrAlAg2, as listed in Alexandria via LeMat-Bulk.

It has space group P4/mmm (No. 123), with a = 4.834 Å, b = 4.834 Å, c = 4.051 Å, α = 90.00°, β = 90.00° and γ = 90.00°. Symmetry generates all atoms from Sr at (0.000, 0.000, 0.000), Al at (0.500, 0.500, 0.000) and Ag at (0.000, 0.500, 0.500).

# 2
First-principles (GGA-PBE) data for a relaxed structure of BeTcPt2, as listed in Alexandria via LeMat-Bulk.

It has space group P4/mmm (No. 123), with a = 3.798 Å, b = 3.798 Å, c = 3.897 Å, α = 90.00°, β = 90.00° and γ = 90.00°. Symmetry generates all atoms from Be at (0.000, 0.000, 0.000), Tc at (0.500, 0.500, 0.000) and Pt at (0.000, 0.500, 0.500).

# 3
First-principles (GGA-PBE) data for a relaxed structure of PrNdPt, as listed in Alexandria via LeMat-Bulk.

It has space group F-43m (No. 216), with a = 7.139 Å, b = 7.139 Å, c = 7.139 Å, α = 90.00°, β = 90.00° and γ = 90.00°. Symmetry generates all atoms from Pr at (0.000, 0.000, 0.000), Nd at (0.000, 0.000, 0.500) and Pt at (0.250, 0.250, 0.750).

For the energy above the lowest structure with this stoichiometry, the calculation gives 83 meV/atom.

| no. | D(E_F) (states/eV per cell) | energy of formation (meV/atom) |
| --- | --- | --- |
| 1 | 1.75 | -1 |
| 2 | 4.21 | -23 |
| 3 | 15.47 | -689 |